Record 1
# Li3Sn5Cl12 GGA-PBE optimized geometry
data_Li3Sn5Cl12
_space_group_name_H-M_alt 'I a -3 d'
_space_group_IT_number 230
_space_group_name_Hall '-I 4bd 2c 3'
_cell_length_a 16.737
_cell_length_b 16.737
_cell_length_c 16.737
_cell_angle_alpha 90.00
_cell_angle_beta 90.00
_cell_angle_gamma 90.00
loop_
_atom_site_label
_atom_site_type_symbol
_atom_site_fract_x
_atom_site_fract_y
_atom_site_fract_z
_atom_site_occupancy
Li1 Li 0.000 0.250 0.125 1
Sn1 Sn 0.000 0.000 0.000 1
Sn2 Sn 0.000 0.250 0.375 1
Cl1 Cl 0.020 0.048 0.338 1
# Volume ... 29.30 A^3/atom
# Density ... 2.9 Mg/m³
# Energy relative to the elements, uncorrected ... -1.059 eV per atom

Record 2
# TbNdHo2Se4 GGA-PBE optimized geometry
data_TbNdHo2Se4
_space_group_name_H-M_alt 'P 1 2/m 1'
_space_group_IT_number 10
_cell_length_a 7.094
_cell_length_b 4.047
_cell_length_c 7.223
_cell_angle_alpha 90.00
_cell_angle_beta 108.69
_cell_angle_gamma 90.00
loop_
_space_group_symop_operation_xyz
'x,y,z'
'-x,-y,-z'
'-x,y,-z'
'x,-y,z'
loop_
_atom_site_label
_atom_site_type_symbol
_atom_site_fract_x
_atom_site_fract_y
_atom_site_fract_z
_atom_site_occupancy
Tb1 Tb 0.000 0.000 0.000 1
Nd1 Nd 0.500 0.500 0.000 1
Ho1 Ho 0.000 0.500 0.500 1
Ho2 Ho 0.500 0.000 0.500 1
Se1 Se 0.241 0.000 0.738 1
Se2 Se 0.248 0.500 0.258 1
# Volume ... 24.55 A^3/atom
# Density ... 8.0 Mg/m³
# Energy relative to the elements, uncorrected ... -1.761 eV per atom